# La5CeY8 (PBE, optimized geometry)
# final energy: -5.647 eV per atom
# DFT formation energy: 230.5 meV/atom
# calculated volume: 34.60 Å³/atom
# SG: I-4
data_La5CeY8
_cell_length_a 8.578
_cell_length_b 8.578
_cell_length_c 8.578
_cell_angle_alpha 111.36
_cell_angle_beta 111.36
_cell_angle_gamma 105.75
_space_group_name_H-M_alt 'P 1'
_space_group_IT_number 1
loop_
_space_group_symop_operation_xyz
'x,y,z'
loop_
_atom_site_label
_atom_site_fract_x
_atom_site_fract_y
_atom_site_fract_z
Y1 0.186 0.590 0.747
Y2 0.410 0.157 0.596
Y3 0.221 0.327 0.260
La1 0.500 0.500 0.000
Y4 0.067 0.961 0.740
Ce1 0.250 0.750 0.500
La2 0.928 0.099 0.385
La3 0.901 0.286 0.829
Y5 0.673 0.933 0.894
La4 0.714 0.543 0.615
Y6 0.561 0.814 0.404
La5 0.457 0.072 0.171
Y7 0.843 0.439 0.253
Y8 0.039 0.779 0.106